A) This record from OQMD via LeMat-Bulk describes an optimized crystal structure of ZrCdCoSn. The functional is PBE.

```
data_ZrCdCoSn
_chemical_formula_sum 'Zr4 Cd4 Co4 Sn4'
_cell_length_a 6.688
_cell_length_b 6.688
_cell_length_c 6.688
_cell_angle_alpha 90.00
_cell_angle_beta 90.00
_cell_angle_gamma 90.00
_space_group_name_H-M_alt 'F -4 3 m'
_space_group_IT_number 216
_space_group_name_Hall 'F -4 2 3'
loop_
_atom_site_label
_atom_site_fract_x
_atom_site_fract_y
_atom_site_fract_z
Zr1 0.000 0.000 0.000
Cd1 0.250 0.250 0.750
Co1 0.000 0.000 0.500
Sn1 0.250 0.250 0.250
```

---

B) This record from OQMD via LeMat-Bulk describes an optimized crystal structure of ZrCdCoSn. The functional is PBE.

```
data_ZrCdCoSn
_chemical_formula_sum 'Zr4 Cd4 Co4 Sn4'
_cell_length_a 6.657
_cell_length_b 6.657
_cell_length_c 6.657
_cell_angle_alpha 90.00
_cell_angle_beta 90.00
_cell_angle_gamma 90.00
_space_group_name_H-M_alt 'F -4 3 m'
_space_group_IT_number 216
_space_group_name_Hall 'F -4 2 3'
loop_
_atom_site_label
_atom_site_fract_x
_atom_site_fract_y
_atom_site_fract_z
Zr1 0.000 0.000 0.000
Cd1 0.250 0.250 0.250
Co1 0.250 0.250 0.750
Sn1 0.000 0.000 0.500
```

---

Computed relative energies in units of eV/atom: A) 0.047; B) 0.000